[1]
# PmHg2Pd5

PmHg2Pd5 after structural relaxation (PBE, Alexandria via LeMat-Bulk).

Lattice parameters (Å, degrees): 7.6429 7.6429 7.6429 122.45 122.45 85.81
Sites, in units of the cell vectors:
Pm  0.2500  0.2500  0.0000
Pm  0.7500  0.7500  0.0000
Hg  0.1564  0.6564  0.8127
Hg  0.3436  0.1564  0.5000
Hg  0.6564  0.8436  0.5000
Hg  0.8436  0.3436  0.1873
Pd  0.0000  0.0000  0.0000
Pd  0.0265  0.8079  0.5000
Pd  0.1921  0.6921  0.2186
Pd  0.3079  0.5265  0.5000
Pd  0.4735  0.9735  0.7814
Pd  0.5000  0.5000  0.0000
Pd  0.5265  0.0265  0.2186
Pd  0.6921  0.4735  0.5000
Pd  0.8079  0.3079  0.7814
Pd  0.9735  0.1921  0.5000

Output
Formation enthalpy at 0 K: -367 meV/atom
DOS(E_F): 1.65 states/eV/f.u.
SG: I4/mcm (140)
Spin magnetization: 0.0000 μB/atom
V: 303 Å³/cell
Crystal system: tetragonal

***

[2]
# PmHg2Pd2

PmHg2Pd2 after structural relaxation (PBE, Alexandria via LeMat-Bulk).

Lattice parameters (Å, degrees): 5.4635 4.6762 9.1171 90.00 106.54 90.00
Sites, in units of the cell vectors:
Pm  0.1429  0.2500  0.2711
Pm  0.8571  0.7500  0.7289
Hg  0.2209  0.2500  0.6350
Hg  0.3836  0.7500  0.0633
Hg  0.6163  0.2500  0.9367
Hg  0.7791  0.7500  0.3650
Pd  0.1065  0.2500  0.9259
Pd  0.3411  0.7500  0.4875
Pd  0.6589  0.2500  0.5125
Pd  0.8935  0.7500  0.0741

Output
Formation enthalpy at 0 K: -485 meV/atom
DOS(E_F): 2.50 states/eV/f.u.
SG: P2_1/m (11)
Spin magnetization: 0.0000 μB/atom
V: 223 Å³/cell
Crystal system: monoclinic

***

Please write out number 2 again, unchanged.
# PmHg2Pd2

PmHg2Pd2 after structural relaxation (PBE, Alexandria via LeMat-Bulk).

Lattice parameters (Å, degrees): 5.4635 4.6762 9.1171 90.00 106.54 90.00
Sites, in units of the cell vectors:
Pm  0.1429  0.2500  0.2711
Pm  0.8571  0.7500  0.7289
Hg  0.2209  0.2500  0.6350
Hg  0.3836  0.7500  0.0633
Hg  0.6163  0.2500  0.9367
Hg  0.7791  0.7500  0.3650
Pd  0.1065  0.2500  0.9259
Pd  0.3411  0.7500  0.4875
Pd  0.6589  0.2500  0.5125
Pd  0.8935  0.7500  0.0741

Output
Formation enthalpy at 0 K: -485 meV/atom
DOS(E_F): 2.50 states/eV/f.u.
SG: P2_1/m (11)
Spin magnetization: 0.0000 μB/atom
V: 223 Å³/cell
Crystal system: monoclinic

***

Among the records above, which one has the lowest DOS(E_F)?
PmHg2Pd5